(1)
Computed, not measured: SnSb3Ru after structural relaxation at the PBE-GGA level of DFT.

Structure (CIF):
```
data_SnSb3Ru
_space_group_name_H-M_alt 'P 1'
_space_group_IT_number 1
_space_group_name_Hall 'P 1'
_cell_length_a 5.161
_cell_length_b 5.161
_cell_length_c 5.161
_cell_angle_alpha 90.00
_cell_angle_beta 90.00
_cell_angle_gamma 90.00
loop_
_atom_site_label
_atom_site_type_symbol
_atom_site_fract_x
_atom_site_fract_y
_atom_site_fract_z
Sb1 Sb 0.000 0.500 0.000
Sb2 Sb 0.000 0.000 0.500
Sb3 Sb 0.500 0.000 0.000
Sn1 Sn 0.500 0.500 0.500
Ru1 Ru 0.000 0.000 0.000
```

The uncorrected formation energy comes out at 379 meV per atom. The calculation puts the total energy at -4.75 eV/atom. The energy above the most stable polymorph in this dataset is 0.0 meV/atom.

***

(2)
Computed, not measured: Sn2SbRu after structural relaxation at the PBE-GGA level of DFT.

Structure (CIF):
```
data_Sn2SbRu
_space_group_name_H-M_alt 'P 1'
_space_group_IT_number 1
_space_group_name_Hall 'P 1'
_cell_length_a 6.363
_cell_length_b 6.363
_cell_length_c 7.703
_cell_angle_alpha 65.61
_cell_angle_beta 65.61
_cell_angle_gamma 90.00
loop_
_atom_site_label
_atom_site_type_symbol
_atom_site_fract_x
_atom_site_fract_y
_atom_site_fract_z
Sb1 Sb 0.000 0.000 0.000
Sb2 Sb 0.750 0.250 0.500
Sn1 Sn 0.576 0.125 0.250
Sn2 Sn 0.174 0.625 0.250
Sn3 Sn 0.375 0.424 0.750
Sn4 Sn 0.875 0.826 0.750
Ru1 Ru 0.500 0.500 0.000
Ru2 Ru 0.250 0.750 0.500
```

The uncorrected formation energy comes out at 415 meV per atom. The calculation puts the total energy at -4.94 eV/atom.

***

(3)
Computed, not measured: SnSbRu2 after structural relaxation at the PBE-GGA level of DFT.

Structure (CIF):
```
data_SnSbRu2
_space_group_name_H-M_alt 'P 1'
_space_group_IT_number 1
_space_group_name_Hall 'P 1'
_cell_length_a 3.240
_cell_length_b 4.615
_cell_length_c 4.615
_cell_angle_alpha 90.00
_cell_angle_beta 90.00
_cell_angle_gamma 90.00
loop_
_atom_site_label
_atom_site_type_symbol
_atom_site_fract_x
_atom_site_fract_y
_atom_site_fract_z
Sb1 Sb 0.500 0.500 0.500
Sn1 Sn 0.500 0.000 0.000
Ru1 Ru 0.000 0.000 0.500
Ru2 Ru 0.000 0.500 0.000
```

The uncorrected formation energy comes out at 34 meV per atom. The calculation puts the total energy at -6.64 eV/atom. The energy above the most stable polymorph in this dataset is 5.3 meV/atom.

***

(4)
Computed, not measured: SnSbRu2 after structural relaxation at the PBE-GGA level of DFT.

Structure (CIF):
```
data_SnSbRu2
_space_group_name_H-M_alt 'P 1'
_space_group_IT_number 1
_space_group_name_Hall 'P 1'
_cell_length_a 5.953
_cell_length_b 5.953
_cell_length_c 7.182
_cell_angle_alpha 65.52
_cell_angle_beta 65.52
_cell_angle_gamma 90.00
loop_
_atom_site_label
_atom_site_type_symbol
_atom_site_fract_x
_atom_site_fract_y
_atom_site_fract_z
Sb1 Sb 0.000 0.000 0.000
Sb2 Sb 0.750 0.250 0.500
Sn1 Sn 0.500 0.500 0.000
Sn2 Sn 0.250 0.750 0.500
Ru1 Ru 0.631 0.125 0.250
Ru2 Ru 0.119 0.625 0.250
Ru3 Ru 0.375 0.369 0.750
Ru4 Ru 0.875 0.881 0.750
```

The uncorrected formation energy comes out at 656 meV per atom. The calculation puts the total energy at -6.01 eV/atom. The energy above the most stable polymorph in this dataset is 627.8 meV/atom.

***

(5)
Computed, not measured: SnSb12Ru4 after structural relaxation at the PBE-GGA level of DFT.

Structure (CIF):
```
data_SnSb12Ru4
_space_group_name_H-M_alt 'P 1'
_space_group_IT_number 1
_space_group_name_Hall 'P 1'
_cell_length_a 8.149
_cell_length_b 8.149
_cell_length_c 8.149
_cell_angle_alpha 109.47
_cell_angle_beta 109.47
_cell_angle_gamma 109.47
loop_
_atom_site_label
_atom_site_type_symbol
_atom_site_fract_x
_atom_site_fract_y
_atom_site_fract_z
Sn1 Sn 0.000 0.000 0.000
Sb1 Sb 0.843 0.338 0.181
Sb2 Sb 0.338 0.495 0.157
Sb3 Sb 0.819 0.157 0.662
Sb4 Sb 0.338 0.181 0.843
Sb5 Sb 0.181 0.843 0.338
Sb6 Sb 0.662 0.505 0.843
Sb7 Sb 0.495 0.157 0.338
Sb8 Sb 0.505 0.843 0.662
Sb9 Sb 0.662 0.819 0.157
Sb10 Sb 0.843 0.662 0.505
Sb11 Sb 0.157 0.338 0.495
Sb12 Sb 0.157 0.662 0.819
Ru1 Ru 0.000 0.500 0.000
Ru2 Ru 0.500 0.000 0.000
Ru3 Ru 0.500 0.500 0.500
Ru4 Ru 0.000 0.000 0.500
```

The uncorrected formation energy comes out at -128 meV per atom. The calculation puts the total energy at -5.46 eV/atom.

***

(6)
Computed, not measured: SnSb2Ru2 after structural relaxation at the PBE-GGA level of DFT.

Structure (CIF):
```
data_SnSb2Ru2
_space_group_name_H-M_alt 'P 1'
_space_group_IT_number 1
_space_group_name_Hall 'P 1'
_cell_length_a 7.871
_cell_length_b 7.871
_cell_length_c 3.130
_cell_angle_alpha 90.00
_cell_angle_beta 90.00
_cell_angle_gamma 90.00
loop_
_atom_site_label
_atom_site_type_symbol
_atom_site_fract_x
_atom_site_fract_y
_atom_site_fract_z
Sb1 Sb 0.149 0.649 0.500
Sb2 Sb 0.649 0.851 0.500
Sb3 Sb 0.851 0.351 0.500
Sb4 Sb 0.351 0.149 0.500
Sn1 Sn 0.000 0.000 0.000
Sn2 Sn 0.500 0.500 0.000
Ru1 Ru 0.358 0.858 0.000
Ru2 Ru 0.858 0.642 0.000
Ru3 Ru 0.642 0.142 0.000
Ru4 Ru 0.142 0.358 0.000
```

The uncorrected formation energy comes out at 72 meV per atom. The calculation puts the total energy at -6.09 eV/atom.

***

Number 1: magnetization 0.0 μB per formula unit, theoretical density 7.07 g/cm³. Number 2: magnetization 0.0 μB per formula unit, theoretical density 6.04 g/cm³. Number 3: magnetization 0.6 μB per formula unit, theoretical density 10.65 g/cm³. Number 4: magnetization 0.0 μB per formula unit, theoretical density 7.13 g/cm³. Number 5: magnetization 0.0 μB per formula unit, theoretical density 7.91 g/cm³. Number 6: magnetization 0.0 μB per formula unit, theoretical density 9.67 g/cm³.